An optimized crystal structure of Pm2HoUP4, computed with PBE.

Values from the calculation:
ρ (g/cm3): 7.28
Formation energy from the elements (eV per atom): -1.428

a b c (Å): 6.9833 4.0274 7.0101
angles (deg): 90.00 109.19 90.00
Last column: nearest neighbours and their distance in Å.
Sites, in units of the cell vectors:
1 Pm 0.0000 0.0000 0.0000  6 P 2.92-2.94
2 Pm 0.5000 0.5000 0.0000  6 P 2.89
3 Ho 0.0000 0.5000 0.5000  6 P 2.82
4 U 0.5000 0.0000 0.5000  6 P 2.77-2.79
5 P 0.2514 0.0000 0.7363  1 U 2.77, 2 Ho 2.82, 3 Pm 2.89-2.94
6 P 0.2581 0.5000 0.2643  2 U 2.79, 1 Ho 2.82, 3 Pm 2.89-2.92
7 P 0.7419 0.5000 0.7357  2 U 2.79, 1 Ho 2.82, 3 Pm 2.89-2.92
8 P 0.7486 0.0000 0.2637  1 U 2.77, 2 Ho 2.82, 3 Pm 2.89-2.94